A crystal of YZr relaxed with PBEsol. Source: Alexandria, functional SCAN.

Geometry as extended XYZ:
```
2
Lattice="-2.8194 -2.8139 2.0929 -2.9613 -2.4053 -2.3860 0.5346 -4.4478 -0.4228" Properties=species:S:1:pos:R:3 pbc="T T T"
Y 0.0000 0.0000 0.0000
Zr -1.3115 -2.4168 -0.1790
```

Properties
The energy of formation is 2.463 eV per atom. As for the energy relative to the lowest polymorph listed for this composition: 2404 meV/atom.


A crystal of Y4Zr relaxed with PBEsol. Source: Alexandria, functional SCAN.

Geometry as extended XYZ:
```
5
Lattice="-2.3045 -2.7761 -3.1692 1.6065 -5.7105 0.1956 -5.0340 -2.3544 2.0845" Properties=species:S:1:pos:R:3 pbc="T T T"
Y -3.5670 -8.2495 -1.0950
Y -2.1650 -2.5915 0.2059
Y -1.3750 -5.5710 -1.3969
Y -4.3570 -5.2700 0.5078
Zr 0.0000 0.0000 0.0000
```

Properties
The energy of formation is 0.120 eV per atom.


A crystal of YZr relaxed with PBEsol. Source: Alexandria, functional SCAN.

Geometry as extended XYZ:
```
2
Lattice="3.3539 0.0000 0.0000 -1.6770 2.9046 0.0000 0.0000 0.0000 5.3111" Properties=species:S:1:pos:R:3 pbc="T T T"
Y 0.0000 0.0000 0.0000
Zr 1.6770 0.9682 2.6555
```

Properties
The energy of formation is 0.137 eV per atom. As for the energy relative to the lowest polymorph listed for this composition: 77 meV/atom.


A crystal of YZr relaxed with PBEsol. Source: Alexandria, functional SCAN.

Geometry as extended XYZ:
```
6
Lattice="-0.3110 3.0492 -1.3175 -5.7650 -1.3994 2.3461 3.7051 3.0346 6.1485" Properties=species:S:1:pos:R:3 pbc="T T T"
Y 3.6316 3.0338 6.1640
Y -3.5165 0.9487 3.0256
Y -1.4581 2.0981 5.1999
Zr -0.8270 2.5708 1.9212
Zr 1.4708 1.8795 4.0027
Zr 0.7767 4.4432 5.8760
```

Properties
The energy of formation is 0.117 eV per atom. As for the energy relative to the lowest polymorph listed for this composition: 58 meV/atom.


A crystal of YZr2 relaxed with PBEsol. Source: Alexandria, functional SCAN.

Geometry as extended XYZ:
```
6
Lattice="-0.8483 -2.8798 -1.3097 4.1576 -2.2389 2.2301 -4.2980 -0.3539 7.6576" Properties=species:S:1:pos:R:3 pbc="T T T"
Y -1.0069 -1.3371 3.5922
Y 0.0183 -4.1355 4.9858
Zr -3.1354 -3.4244 5.4648
Zr 0.1321 -2.1832 0.6193
Zr -1.1207 -3.2894 7.9588
Zr 2.1467 -2.0482 3.1132
```

Properties
The energy of formation is 0.086 eV per atom.


A crystal of YZr relaxed with PBEsol. Source: Alexandria, functional SCAN.

Geometry as extended XYZ:
```
4
Lattice="3.3402 0.0000 0.0000 0.0000 5.1221 0.0000 -1.6701 0.0000 6.1532" Properties=species:S:1:pos:R:3 pbc="T T T"
Y 1.6701 3.8416 2.1431
Y 0.0000 1.2805 4.0101
Zr 0.0000 1.2805 0.6465
Zr 1.6701 3.8416 5.5067
```

Properties
The energy of formation is 0.059 eV per atom. As for the energy relative to the lowest polymorph listed for this composition: 0 meV/atom.


A crystal of YZr relaxed with PBEsol. Source: Alexandria, functional SCAN.

Geometry as extended XYZ:
```
4
Lattice="-2.5420 1.4010 1.6314 -2.6707 -4.5366 -0.2655 2.3715 -1.6977 5.1532" Properties=species:S:1:pos:R:3 pbc="T T T"
Y 0.1286 -1.7042 1.6639
Y -0.4277 -4.5301 3.2239
Zr 0.1091 -1.8996 5.1989
Zr -2.9502 -2.9337 1.3201
```

Properties
The energy of formation is 0.105 eV per atom. As for the energy relative to the lowest polymorph listed for this composition: 46 meV/atom.


A crystal of Y7Zr relaxed with PBEsol. Source: Alexandria, functional SCAN.

Geometry as extended XYZ:
```
8
Lattice="-0.3743 -5.5634 -4.0567 4.5602 -5.1192 0.7393 -2.0065 -6.0524 2.6250" Properties=species:S:1:pos:R:3 pbc="T T T"
Y 1.2768 -5.5858 1.6821
Y 2.2801 -2.5596 0.3696
Y -1.0033 -3.0262 1.3125
Y 2.0929 -5.3413 -1.6587
Y -1.1904 -5.8079 -0.7159
Y -0.1872 -2.7817 -2.0284
Y 1.0897 -8.3675 -0.3462
Zr 0.0000 0.0000 0.0000
```

Properties
The energy of formation is 0.112 eV per atom.


A crystal of Y5Zr relaxed with PBEsol. Source: Alexandria, functional SCAN.

Geometry as extended XYZ:
```
6
Lattice="-1.7974 0.3424 2.9647 -4.1713 -2.8017 -2.2054 4.5107 -7.9831 1.6098" Properties=species:S:1:pos:R:3 pbc="T T T"
Y 0.0293 -0.0634 0.0251
Y 2.4214 -5.2368 2.0728
Y 0.2753 -2.3679 2.4873
Y 1.1708 -8.4438 1.6850
Y -1.0356 -5.4443 2.0479
Zr -1.2835 -3.1358 -0.4160
```

Properties
The energy of formation is 0.069 eV per atom. As for the energy relative to the lowest polymorph listed for this composition: 5 meV/atom.


A crystal of YZr relaxed with PBEsol. Source: Alexandria, functional SCAN.

Geometry as extended XYZ:
```
4
Lattice="-0.2537 -2.3567 -2.3336 5.1904 -0.7660 0.2092 -0.7755 -4.1010 4.2258" Properties=species:S:1:pos:R:3 pbc="T T T"
Y -0.4656 -2.4619 2.5368
Y 2.1583 -3.2004 0.6268
Zr 1.8765 -4.1831 4.0204
Zr -0.1838 -1.4792 -0.8568
```

Properties
The energy of formation is 0.114 eV per atom. As for the energy relative to the lowest polymorph listed for this composition: 55 meV/atom.


A crystal of YZr8 relaxed with PBEsol. Source: Alexandria, functional SCAN.

Geometry as extended XYZ:
```
9
Lattice="4.4920 0.0000 0.0000 2.2460 6.7661 0.0000 2.2460 0.0000 6.7661" Properties=species:S:1:pos:R:3 pbc="T T T"
Y 0.0000 0.0000 0.0000
Zr 4.4920 2.2768 2.2768
Zr 4.4920 4.4893 4.4893
Zr 2.2460 4.4893 2.2768
Zr 4.4920 0.0000 4.4539
Zr 2.2460 2.3122 0.0000
Zr 2.2460 2.2768 4.4893
Zr 4.4920 4.4539 0.0000
Zr 2.2460 0.0000 2.3122
```

Properties
The energy of formation is 0.103 eV per atom.


A crystal of YZr2 relaxed with PBEsol. Source: Alexandria, functional SCAN.

Geometry as extended XYZ:
```
6
Lattice="-2.5075 -2.0912 -0.2419 4.7885 -3.4267 2.1429 -3.0413 2.9033 6.4250" Properties=species:S:1:pos:R:3 pbc="T T T"
Y -2.2673 2.1104 5.2572
Y 1.5070 -4.7250 3.0688
Zr -1.8303 -0.8130 3.8433
Zr -0.5149 -0.1509 6.6404
Zr -0.2454 -2.4637 1.6855
Zr 1.0700 -1.8016 4.4826
```

Properties
The energy of formation is 0.089 eV per atom.


What did the ninth record say?
A crystal of Y5Zr relaxed with PBEsol. Source: Alexandria, functional SCAN.

Geometry as extended XYZ:
```
6
Lattice="-1.7974 0.3424 2.9647 -4.1713 -2.8017 -2.2054 4.5107 -7.9831 1.6098" Properties=species:S:1:pos:R:3 pbc="T T T"
Y 0.0293 -0.0634 0.0251
Y 2.4214 -5.2368 2.0728
Y 0.2753 -2.3679 2.4873
Y 1.1708 -8.4438 1.6850
Y -1.0356 -5.4443 2.0479
Zr -1.2835 -3.1358 -0.4160
```

Properties
The energy of formation is 0.069 eV per atom. As for the energy relative to the lowest polymorph listed for this composition: 5 meV/atom.


Question: Look up the energy of formation of the ninth one.
Answer: 0.069 eV per atom


Question: What is the energy of formation in the eighth record?
Answer: 0.112 eV per atom